Record 1
First-principles (GGA-PBE) data for a geometry-optimized TcHg3Se structure, as listed in Alexandria.

Output
formation energy from raw total energies: 858 meV per atom
symmetry: No. 221
DOS(E_F): 0.870 states/eV/atom

Cell lengths 5.344, 5.344, 5.344 Å; angles 90.00, 90.00, 90.00 degrees
Sites, in units of the cell vectors:
Hg 0.000 0.500 0.000
Hg 0.000 0.000 0.500
Hg 0.500 0.000 0.000
Se 0.500 0.500 0.500
Tc 0.000 0.000 0.000

=====

Record 2
First-principles (GGA-PBE) data for a geometry-optimized NaSiAsSe4 structure, as listed in Alexandria.

Output
formation energy from raw total energies: -419 meV per atom
symmetry: No. 63

Cell lengths 7.023, 7.023, 8.814 Å; angles 90.00, 90.00, 111.95 degrees
Sites, in units of the cell vectors:
Na 0.500 0.500 0.500
Na 0.500 0.500 0.000
Si 0.131 0.869 0.250
Si 0.869 0.131 0.750
As 0.844 0.156 0.250
As 0.156 0.844 0.750
Se 0.225 0.213 0.750
Se 0.787 0.775 0.750
Se 0.759 0.241 0.958
Se 0.759 0.241 0.542
Se 0.241 0.759 0.042
Se 0.241 0.759 0.458
Se 0.775 0.787 0.250
Se 0.213 0.225 0.250

=====

Record 3
First-principles (GGA-PBE) data for a geometry-optimized Ta6Nb2Os structure, as listed in Alexandria.

Output
calculated formation energy: 0.15 eV per atom
symmetry: No. 38
DOS(E_F): 0.966 states/eV/atom

Cell lengths 2.967, 7.548, 8.298 Å; angles 117.06, 90.00, 90.00 degrees
Sites, in units of the cell vectors:
Ta 0.500 0.592 0.000
Ta 0.500 0.376 0.342
Ta 0.500 0.035 0.658
Ta 0.000 0.246 0.000
Ta 0.000 0.729 0.708
Ta 0.000 0.021 0.292
Nb 0.000 0.351 0.656
Nb 0.000 0.696 0.344
Os 0.500 0.955 0.000

=====

Record 4
First-principles (GGA-PBE) data for a geometry-optimized LiTh2Ag structure, as listed in Alexandria.

Output
calculated formation energy: 0.11 eV per atom
symmetry: No. 123
DOS(E_F): 0.949 states/eV/atom

Cell lengths 4.450, 4.800, 4.800 Å; angles 90.00, 90.00, 90.00 degrees
Sites, in units of the cell vectors:
Ag 0.500 0.500 0.500
Th 0.000 0.000 0.500
Th 0.000 0.500 0.000
Li 0.500 0.000 0.000

=====

Repeat the first record exactly.
First-principles (GGA-PBE) data for a geometry-optimized TcHg3Se structure, as listed in Alexandria.

Output
formation energy from raw total energies: 858 meV per atom
symmetry: No. 221
DOS(E_F): 0.870 states/eV/atom

Cell lengths 5.344, 5.344, 5.344 Å; angles 90.00, 90.00, 90.00 degrees
Sites, in units of the cell vectors:
Hg 0.000 0.500 0.000
Hg 0.000 0.000 0.500
Hg 0.500 0.000 0.000
Se 0.500 0.500 0.500
Tc 0.000 0.000 0.000